DFT (GGA-PBE) results for crystalline Sb2AsW at its relaxed geometry. Values from VASP.

ρ	10145	kg/m3
calculated total energy	-5.69	eV per atom
energy relative to the elements, uncorrected	3.1	eV per formula unit
calculated volume	82	Å³ per cell

```
&SYSTEM
  ibrav = 0, nat = 4, ntyp = 3
/
ATOMIC_SPECIES
W 183.84 W.upf
As 74.92 As.upf
Sb 121.76 Sb.upf
CELL_PARAMETERS angstrom
3.366 0.000 0.000
0.000 4.942 0.000
0.000 0.000 4.942
ATOMIC_POSITIONS angstrom
W 1.683 2.471 0.000
As 1.683 0.000 2.471
Sb 0.000 0.000 0.000
Sb 0.000 2.471 2.471
```


DFT (GGA-PBE) results for crystalline Sb2AsW at its relaxed geometry. Values from VASP.

ρ	10105	kg/m3
calculated total energy	-5.69	eV per atom
energy relative to the elements, uncorrected	3.1	eV per formula unit
calculated volume	83	Å³ per cell

```
&SYSTEM
  ibrav = 0, nat = 4, ntyp = 3
/
ATOMIC_SPECIES
As 74.92 As.upf
W 183.84 W.upf
Sb 121.76 Sb.upf
CELL_PARAMETERS angstrom
-4.882 2.039 -0.375
-3.417 -3.696 1.672
4.247 2.440 2.035
ATOMIC_POSITIONS angstrom
As -2.392 1.826 1.154
W -1.659 -1.042 2.178
Sb -8.152 -1.628 1.274
Sb -4.295 -0.858 0.671
```


DFT (GGA-PBE) results for crystalline Sb2AsW at its relaxed geometry. Values from VASP.

ρ	9808	kg/m3
calculated total energy	-5.84	eV per atom
energy relative to the elements, uncorrected	2.5	eV per formula unit
calculated volume	85	Å³ per cell

```
&SYSTEM
  ibrav = 0, nat = 4, ntyp = 3
/
ATOMIC_SPECIES
Sb 121.76 Sb.upf
As 74.92 As.upf
W 183.84 W.upf
CELL_PARAMETERS angstrom
5.025 0.013 -0.015
3.853 3.226 -0.015
0.756 0.276 5.261
ATOMIC_POSITIONS angstrom
Sb 0.967 0.353 5.132
Sb 4.606 1.680 2.745
As 2.409 0.879 1.308
W 7.226 2.636 3.923
```


DFT (GGA-PBE) results for crystalline Sb2AsW at its relaxed geometry. Values from VASP.

ρ	10075	kg/m3
calculated total energy	-5.72	eV per atom
energy relative to the elements, uncorrected	3.0	eV per formula unit
calculated volume	83	Å³ per cell

```
&SYSTEM
  ibrav = 0, nat = 4, ntyp = 3
/
ATOMIC_SPECIES
Sb 121.76 Sb.upf
W 183.84 W.upf
As 74.92 As.upf
CELL_PARAMETERS angstrom
-1.586 -2.011 -6.320
-1.367 -2.393 4.229
-3.303 0.334 -0.386
ATOMIC_POSITIONS angstrom
Sb -2.445 -0.839 -3.353
Sb 0.000 0.000 0.000
W -2.335 -1.030 1.922
As -1.476 -2.202 -1.046
```


DFT (GGA-PBE) results for crystalline Sb3AsW at its relaxed geometry. Values from VASP.

ρ	7328	kg/m3
calculated total energy	-4.44	eV per atom
energy relative to the elements, uncorrected	7.8	eV per formula unit
calculated volume	141	Å³ per cell
distance to the lowest polymorph of the same formula	0.766	eV per atom

```
&SYSTEM
  ibrav = 0, nat = 5, ntyp = 3
/
ATOMIC_SPECIES
Sb 121.76 Sb.upf
W 183.84 W.upf
As 74.92 As.upf
CELL_PARAMETERS angstrom
-0.204 5.093 1.078
-0.465 -1.092 5.073
5.185 0.102 0.497
ATOMIC_POSITIONS angstrom
Sb -0.232 -0.546 2.536
Sb -0.102 2.547 0.539
Sb 2.593 0.051 0.248
W 2.259 2.051 3.324
As 0.000 0.000 0.000
```


DFT (GGA-PBE) results for crystalline SbAsW2 at its relaxed geometry. Values from VASP.

ρ	13358	kg/m3
calculated total energy	-8.08	eV per atom
energy relative to the elements, uncorrected	2.4	eV per formula unit
calculated volume	70	Å³ per cell
distance to the lowest polymorph of the same formula	0.356	eV per atom

```
&SYSTEM
  ibrav = 0, nat = 4, ntyp = 3
/
ATOMIC_SPECIES
As 74.92 As.upf
W 183.84 W.upf
Sb 121.76 Sb.upf
CELL_PARAMETERS angstrom
-1.610 0.837 8.298
-4.502 1.019 7.130
-3.206 -1.773 7.663
ATOMIC_POSITIONS angstrom
As -2.330 0.021 5.773
W -9.256 0.082 22.936
W -4.721 0.042 11.700
Sb -6.989 0.062 17.318
```


DFT (GGA-PBE) results for crystalline YSbAs at its relaxed geometry. Values from VASP.

ρ	5965	kg/m3
calculated total energy	-5.39	eV per atom
energy relative to the elements, uncorrected	-0.9	eV per formula unit
calculated volume	80	Å³ per cell
distance to the lowest polymorph of the same formula	0.435	eV per atom

```
&SYSTEM
  ibrav = 0, nat = 3, ntyp = 3
/
ATOMIC_SPECIES
Sb 121.76 Sb.upf
As 74.92 As.upf
Y 88.91 Y.upf
CELL_PARAMETERS angstrom
3.832 0.000 0.000
-1.916 3.318 0.000
0.000 0.000 6.253
ATOMIC_POSITIONS angstrom
Sb 1.916 1.106 1.943
As 0.000 0.000 6.225
Y 0.000 2.212 4.339
```


DFT (GGA-PBE) results for crystalline Y3SbAs2 at its relaxed geometry. Values from VASP.

ρ	5625	kg/m3
calculated total energy	-6.87	eV per atom
energy relative to the elements, uncorrected	-8.4	eV per formula unit
calculated volume	159	Å³ per cell

```
&SYSTEM
  ibrav = 0, nat = 6, ntyp = 3
/
ATOMIC_SPECIES
Y 88.91 Y.upf
Sb 121.76 Sb.upf
As 74.92 As.upf
CELL_PARAMETERS angstrom
-0.351 2.134 -3.592
5.941 0.649 -0.195
-2.311 -6.804 -1.369
ATOMIC_POSITIONS angstrom
Y 2.967 -0.530 -3.052
Y 0.000 0.000 0.000
Y 0.312 -3.492 -2.105
Sb 2.971 0.325 -0.098
As -0.017 -0.711 -2.868
As 3.296 -3.311 -2.289
```


DFT (GGA-PBE) results for crystalline YSb2As2 at its relaxed geometry. Values from VASP.

ρ	6188	kg/m3
calculated total energy	-4.90	eV per atom
energy relative to the elements, uncorrected	-0.5	eV per formula unit
calculated volume	129	Å³ per cell
distance to the lowest polymorph of the same formula	0.281	eV per atom

```
&SYSTEM
  ibrav = 0, nat = 5, ntyp = 3
/
ATOMIC_SPECIES
As 74.92 As.upf
Sb 121.76 Sb.upf
Y 88.91 Y.upf
CELL_PARAMETERS angstrom
3.932 0.000 0.000
0.000 3.932 0.000
1.966 1.966 8.373
ATOMIC_POSITIONS angstrom
As 1.966 3.932 4.186
As 3.932 1.966 4.186
Sb 3.932 3.932 6.798
Sb 1.966 1.966 1.575
Y 0.000 0.000 0.000
```


DFT (GGA-PBE) results for crystalline YSb2As2 at its relaxed geometry. Values from VASP.

ρ	6270	kg/m3
calculated total energy	-5.18	eV per atom
energy relative to the elements, uncorrected	-1.9	eV per formula unit
calculated volume	255	Å³ per cell
distance to the lowest polymorph of the same formula	0.000	eV per atom

```
&SYSTEM
  ibrav = 0, nat = 10, ntyp = 3
/
ATOMIC_SPECIES
Y 88.91 Y.upf
Sb 121.76 Sb.upf
As 74.92 As.upf
CELL_PARAMETERS angstrom
-7.410 2.766 -0.245
-2.319 -5.779 4.883
0.788 2.395 3.208
ATOMIC_POSITIONS angstrom
Y 0.000 0.000 0.000
Y -4.864 -1.506 2.319
Sb -2.529 -2.238 4.886
Sb -6.552 -1.649 5.435
Sb -6.411 1.620 2.960
Sb -2.388 1.031 2.411
As -7.771 -1.462 3.000
As -4.500 -3.924 4.034
As -5.229 0.911 0.604
As -1.957 -1.551 1.638
```


DFT (GGA-PBE) results for crystalline YSbAs at its relaxed geometry. Values from VASP.

ρ	5363	kg/m3
calculated total energy	-5.46	eV per atom
energy relative to the elements, uncorrected	-1.1	eV per formula unit
calculated volume	88	Å³ per cell
distance to the lowest polymorph of the same formula	0.368	eV per atom

```
&SYSTEM
  ibrav = 0, nat = 3, ntyp = 3
/
ATOMIC_SPECIES
Sb 121.76 Sb.upf
Y 88.91 Y.upf
As 74.92 As.upf
CELL_PARAMETERS angstrom
5.001 0.000 0.000
2.500 4.331 0.000
2.500 1.444 4.083
ATOMIC_POSITIONS angstrom
Sb 5.001 2.887 2.042
Y 2.500 1.444 1.021
As 0.000 0.000 0.000
```


DFT (GGA-PBE) results for crystalline YSbAs at its relaxed geometry. Values from VASP.

ρ	6038	kg/m3
calculated total energy	-5.82	eV per atom
energy relative to the elements, uncorrected	-2.2	eV per formula unit
calculated volume	79	Å³ per cell
distance to the lowest polymorph of the same formula	0.000	eV per atom

```
&SYSTEM
  ibrav = 0, nat = 3, ntyp = 3
/
ATOMIC_SPECIES
Sb 121.76 Sb.upf
Y 88.91 Y.upf
As 74.92 As.upf
CELL_PARAMETERS angstrom
5.816 -0.009 -0.009
3.183 4.868 0.009
-4.492 -2.444 2.771
ATOMIC_POSITIONS angstrom
Sb 2.834 1.530 0.000
Y 5.736 3.097 0.000
As 0.429 0.231 0.000
```


DFT (GGA-PBE) results for crystalline YSb4As at its relaxed geometry. Values from VASP.

ρ	6537	kg/m3
calculated total energy	-4.50	eV per atom
energy relative to the elements, uncorrected	0.6	eV per formula unit
calculated volume	165	Å³ per cell

```
&SYSTEM
  ibrav = 0, nat = 6, ntyp = 3
/
ATOMIC_SPECIES
Sb 121.76 Sb.upf
Y 88.91 Y.upf
As 74.92 As.upf
CELL_PARAMETERS angstrom
0.000 4.356 4.356
4.356 0.000 4.356
4.356 4.356 0.000
ATOMIC_POSITIONS angstrom
Sb 3.262 3.262 3.262
Sb 3.262 5.450 5.450
Sb 5.450 5.450 3.262
Sb 5.450 3.262 5.450
Y 6.534 6.534 6.534
As 0.000 0.000 0.000
```


DFT (GGA-PBE) results for crystalline Y5Sb4As at its relaxed geometry. Values from VASP.

ρ	5781	kg/m3
calculated total energy	-6.57	eV per atom
energy relative to the elements, uncorrected	-12.2	eV per formula unit
calculated volume	289	Å³ per cell

```
&SYSTEM
  ibrav = 0, nat = 10, ntyp = 3
/
ATOMIC_SPECIES
Y 88.91 Y.upf
Sb 121.76 Sb.upf
As 74.92 As.upf
CELL_PARAMETERS angstrom
0.362 -0.177 -4.324
0.690 -4.282 0.233
-15.603 -0.262 0.884
ATOMIC_POSITIONS angstrom
Y -2.860 -0.473 -0.220
Y 0.526 -2.230 -2.046
Y -5.519 -3.228 -2.511
Y -11.691 -4.248 -2.986
Y -9.032 -1.492 -0.696
Sb -12.078 -1.996 -0.930
Sb -2.473 -2.725 -2.276
Sb -5.971 -0.987 -0.460
Sb -8.580 -3.734 -2.747
As 0.000 0.000 0.000
```